No. 1
A plane-wave DFT calculation with PBE was carried out for an optimized crystal structure of KTl2Sb.

Output
Symmetry   No. 47
Fermi-level density of states   2.88 states/eV/f.u.
Raw formation energy   -0.105 eV/atom

Cell: 5.0417 5.0556 5.0323 Å, 90.00 90.00 90.00°
Last column: nearest neighbours and their distance in Å.
Element x y z (fractional)
K1 0.5000 0.0000 0.5000  8 Tl 3.56-3.57, 4 Sb 3.57
Sb1 0.0000 0.5000 0.5000  8 Tl 3.56-3.57, 4 K 3.57
Tl1 0.0000 0.0000 0.0000  4 K 3.56, 4 Sb 3.57, 4 Tl 3.57
Tl2 0.5000 0.5000 0.0000  4 Sb 3.56, 4 K 3.57, 4 Tl 3.57

No. 2
A plane-wave DFT calculation with PBE was carried out for an optimized crystal structure of AcAl2Ni.

Output
Symmetry   No. 166
Fermi-level density of states   3.55 states/eV/f.u.
Energy relative to the elements   -0.46 eV per atom

Cell: 4.1925 4.1925 6.2917 Å, 70.54 70.54 60.00°
Last column: nearest neighbours and their distance in Å.
Element x y z (fractional)
Ni1 0.5000 0.5000 0.5000  6 Al 2.49
Ac1 0.0000 0.0000 0.0000  8 Al 3.36-3.47
Al1 0.8008 0.8008 0.5975  3 Ni 2.49, 3 Al 2.67
Al2 0.1992 0.1992 0.4025  3 Ni 2.49, 3 Al 2.67

No. 3
A plane-wave DFT calculation with PBE was carried out for an optimized crystal structure of VCr3Pd.

Output
Symmetry   No. 221
Fermi-level density of states   10.78 states/eV/f.u.
Energy relative to the elements   1.67 eV per atom

Cell: 4.8039 4.8039 4.8039 Å, 90.00 90.00 90.00°
Last column: nearest neighbours and their distance in Å.
Element x y z (fractional)
Cr1 0.0000 0.5000 0.0000  2 Pd 2.40
Cr2 0.0000 0.0000 0.5000  2 Pd 2.40
Cr3 0.5000 0.0000 0.0000  2 Pd 2.40
Pd1 0.0000 0.0000 0.0000  6 Cr 2.40
V1 0.5000 0.5000 0.5000  12 Cr 3.40

No. 4
A plane-wave DFT calculation with PBE was carried out for an optimized crystal structure of BaGeHPd2.

Output
Symmetry   No. 63
Fermi-level density of states   2.63 states/eV/f.u.
E   -4.64 eV per atom

Cell: 4.0756 6.2472 7.5518 Å, 90.00 90.00 109.04°
Last column: nearest neighbours and their distance in Å.
Element x y z (fractional)
Ba1 0.4490 0.8979 0.7500  4 H 2.84
Ba2 0.5510 0.1021 0.2500  4 H 2.84
Ge1 0.7254 0.4508 0.7500  6 Pd 2.60-2.65
Ge2 0.2746 0.5492 0.2500  6 Pd 2.60-2.65
H1 0.0000 0.0000 0.0000  2 Pd 2.02
H2 0.0000 0.0000 0.5000  2 Pd 2.02
Pd1 0.1670 0.3340 0.9427  1 H 2.02
Pd2 0.8330 0.6660 0.0573  1 H 2.02
Pd3 0.1670 0.3340 0.5573  1 H 2.02
Pd4 0.8330 0.6660 0.4427  1 H 2.02